This record from the Alexandria database describes a relaxed Pr4YCd3 crystal. The functional is PBE-GGA. Values from VASP.

Calculated values
- E (eV per formula unit) = -29.8
- DFT formation energy (eV per atom) = -0.186

```
&SYSTEM
  ibrav = 0, nat = 8, ntyp = 3
/
ATOMIC_SPECIES
Pr 140.91 Pr.upf
Y 88.91 Y.upf
Cd 112.41 Cd.upf
CELL_PARAMETERS angstrom
2.762 1.595 9.185
-2.762 1.595 9.185
0.000 -3.189 9.185
ATOMIC_POSITIONS angstrom
Pr 0.000 0.000 3.269
Pr 0.000 0.000 10.227
Pr 0.000 0.000 17.329
Pr 0.000 0.000 24.287
Y 0.000 0.000 13.778
Cd 0.000 0.000 0.000
Cd 0.000 0.000 6.677
Cd 0.000 0.000 20.879
```

---

This record from the Alexandria database describes a relaxed Pr6Y2Cd crystal. The functional is PBE-GGA. Values from VASP.

Calculated values
- distance to the lowest polymorph of the same formula (meV per atom) = 15.9
- E (eV per formula unit) = -42.5
- DFT formation energy (eV per atom) = 0.004

```
&SYSTEM
  ibrav = 0, nat = 18, ntyp = 3
/
ATOMIC_SPECIES
Pr 140.91 Pr.upf
Y 88.91 Y.upf
Cd 112.41 Cd.upf
CELL_PARAMETERS angstrom
10.539 -4.649 0.000
10.539 4.649 0.000
-2.009 0.000 6.191
ATOMIC_POSITIONS angstrom
Pr 1.242 0.684 1.288
Pr 6.828 2.324 0.508
Pr 0.237 -0.684 4.383
Pr 7.771 0.686 3.413
Pr 13.245 2.324 2.587
Pr 8.776 -0.686 0.318
Pr 10.292 0.686 5.873
Pr 5.823 -2.324 3.603
Pr 11.297 -0.686 2.777
Pr 18.831 0.684 1.808
Pr 12.240 -2.324 5.682
Pr 17.826 -0.684 4.903
Y 4.100 0.712 3.601
Y 5.105 -0.712 0.506
Y 13.963 0.712 5.685
Y 14.968 -0.712 2.589
Cd 10.037 2.322 1.548
Cd 9.032 -2.322 4.643
```

---

This record from the Alexandria database describes a relaxed Pr3Y2Cd3 crystal. The functional is PBE-GGA. Values from VASP.

Calculated values
- E (eV per formula unit) = -31.9
- DFT formation energy (eV per atom) = -0.238

```
&SYSTEM
  ibrav = 0, nat = 8, ntyp = 3
/
ATOMIC_SPECIES
Pr 140.91 Pr.upf
Y 88.91 Y.upf
Cd 112.41 Cd.upf
CELL_PARAMETERS angstrom
-1.902 2.781 11.360
1.902 -2.781 11.360
1.902 2.781 -11.360
ATOMIC_POSITIONS angstrom
Pr 0.000 0.000 0.000
Pr 1.902 0.000 8.551
Pr 0.000 2.781 2.809
Y 0.000 0.000 5.323
Y 0.000 0.000 17.397
Cd 1.902 0.000 2.756
Cd 0.000 0.000 11.360
Cd 0.000 2.781 8.604
```

---

This record from the Alexandria database describes a relaxed PrY2Cd8 crystal. The functional is PBE-GGA. Values from VASP.

Calculated values
- E (eV per formula unit) = -28.1
- DFT formation energy (eV per atom) = -0.281

```
&SYSTEM
  ibrav = 0, nat = 11, ntyp = 3
/
ATOMIC_SPECIES
Pr 140.91 Pr.upf
Y 88.91 Y.upf
Cd 112.41 Cd.upf
CELL_PARAMETERS angstrom
4.160 -7.992 0.000
4.160 7.992 0.000
-3.434 0.000 4.103
ATOMIC_POSITIONS angstrom
Pr 0.000 0.000 0.000
Y 2.444 3.038 2.052
Y 2.444 -3.038 2.052
Cd -0.584 2.082 3.005
Cd 4.160 4.754 0.000
Cd -0.584 -2.082 3.005
Cd 3.293 0.000 1.030
Cd 1.595 0.000 3.073
Cd 5.471 2.082 1.098
Cd 4.160 -4.754 0.000
Cd 5.471 -2.082 1.098
```